# SrCuSn2Au4, optimized geometry, DFT PBE-GGA
data_SrCuSn2Au4
_space_group_name_H-M_alt 'P 1'
_space_group_IT_number 1
_space_group_name_Hall 'P 1'
_cell_length_a 9.812
_cell_length_b 9.812
_cell_length_c 9.812
_cell_angle_alpha 27.63
_cell_angle_beta 27.63
_cell_angle_gamma 27.63
loop_
_atom_site_label
_atom_site_fract_x
_atom_site_fract_y
_atom_site_fract_z
Sr1 0.000 0.000 0.000
Cu1 0.500 0.500 0.500
Sn1 0.244 0.244 0.244
Sn2 0.756 0.756 0.756
Au1 0.143 0.143 0.143
Au2 0.402 0.402 0.402
Au3 0.598 0.598 0.598
Au4 0.857 0.857 0.857
# **ΔH_f (0 K)**: -0.320 eV per atom
# **Space-group type**: R-3m, No. 166